The following is a DFT calculation (GGA-PBE) of a relaxed TaAsO4F2 crystal.

Calculated values
- Symmetry: No. 31
- Total moment: 0.1 μB/f.u.
- Crystal system: orthorhombic
- Energy relative to the elements, uncorrected: -196 kJ per mole of atoms
- VASP energy: -56.31 eV/f.u.

Geometry as POSCAR:
```
TaAsO4F2
1.0
5.7506 0.0000 0.0000
0.0000 8.0738 0.0000
0.0000 0.0000 5.5678
Ta As O F
2 2 8 4
direct
0.0000 0.2430 0.0000 Ta
0.5000 0.7570 0.5000 Ta
0.0000 0.6241 0.6517 As
0.5000 0.3759 0.1517 As
0.0000 0.4400 0.8332 O
0.0000 0.5845 0.3625 O
0.2473 0.2759 0.2483 O
0.2527 0.7241 0.7483 O
0.5000 0.4155 0.8625 O
0.5000 0.5600 0.3332 O
0.7473 0.7241 0.7483 O
0.7527 0.2759 0.2483 O
0.2176 0.1010 0.8478 F
0.2824 0.8990 0.3478 F
0.7176 0.8990 0.3478 F
0.7824 0.1010 0.8478 F
```